No. 1
## Ho3NiB2Pt9 (PBE-GGA)

Data for crystalline Ho3NiB2Pt9 at its relaxed geometry.

## Properties
**Fermi-level density of states**: 6.8 states/eV per cell
**Total moment**: 0.00 μB per cell
**Space group**: P-3m1
**DFT formation energy**: -0.799 eV per atom

a b c (Å): 5.688 5.688 9.195
angles (deg): 90.00 90.00 120.00
Fractional coordinates of all 15 atoms:
Pt 0.163 0.326 0.288
Pt 0.837 0.163 0.712
Pt 0.500 0.500 0.000
Ho 0.333 0.667 0.593
Ho 0.000 0.000 0.000
Pt 0.500 0.000 0.000
Pt 0.163 0.837 0.288
Pt 0.326 0.163 0.712
Pt 0.674 0.837 0.288
Pt 0.837 0.674 0.712
B 0.333 0.667 0.152
B 0.667 0.333 0.848
Ni 0.000 0.000 0.500
Pt 0.000 0.500 0.000
Ho 0.667 0.333 0.407

No. 2
## Ho2NiB2Rh5 (PBE-GGA)

Data for crystalline Ho2NiB2Rh5 at its relaxed geometry.

## Properties
**Fermi-level density of states**: 16.2 states/eV per cell
**Total moment**: 1.87 μB per cell
**Space group**: P4/mbm
**DFT formation energy**: -0.642 eV per atom

a b c (Å): 3.202 9.400 9.400
angles (deg): 90.00 90.00 90.00
Last column: magnetic moment on the atom in μB.
Fractional coordinates of all 20 atoms:
Ni 0.000 0.000 0.000  0.63
B 0.000 0.875 0.375  0.00
B 0.000 0.625 0.875  0.00
B 0.000 0.375 0.125  0.00
Rh 0.500 0.218 0.070  0.09
B 0.000 0.125 0.625  0.00
Rh 0.500 0.430 0.282  0.09
Ho 0.000 0.676 0.176  -0.02
Rh 0.500 0.070 0.782  0.09
Rh 0.500 0.500 0.000  0.04
Rh 0.500 0.570 0.718  0.09
Ni 0.000 0.500 0.500  0.63
Rh 0.500 0.718 0.430  0.09
Rh 0.500 0.282 0.570  0.09
Ho 0.000 0.176 0.324  -0.02
Ho 0.000 0.324 0.824  -0.02
Rh 0.500 0.930 0.218  0.09
Rh 0.500 0.782 0.930  0.09
Ho 0.000 0.824 0.676  -0.02
Rh 0.500 0.000 0.500  0.04

- Among the records above, which one has the highest DFT formation energy?
  Ho2NiB2Rh5

- DFT formation energy of number 1 (Ho3NiB2Pt9)?
  -0.799 eV per atom

- Which formula does entry 2 have?
  Ho2NiB2Rh5